Entry 1:
VASP calculation (GGA-PBE) on a relaxed PmScTeO2 crystal.

Computed properties:
Size of the total moment   0.000 μB/cell
Electronic total energy   -76.60 eV/cell
ρ   5.83 Mg/m³

```
data_PmScTeO2
_cell_length_a 6.794
_cell_length_b 4.073
_cell_length_c 7.616
_cell_angle_alpha 90.00
_cell_angle_beta 109.04
_cell_angle_gamma 90.00
_symmetry_space_group_name_H-M 'P 1 21/m 1'
_symmetry_Int_Tables_number 11
loop_
_symmetry_equiv_pos_as_xyz
'x,y,z'
'-x,-y,-z'
'-x,y+1/2,-z'
'x,-y+1/2,z'
loop_
_atom_site_label
_atom_site_fract_x
_atom_site_fract_y
_atom_site_fract_z
_atom_site_occupancy
Pm1 0.185 0.250 0.430 1
Sc1 0.138 0.250 0.917 1
Te1 0.460 0.750 0.762 1
O1 0.015 0.750 0.365 1
O2 0.022 0.750 0.895 1
```

---

Entry 2:
VASP calculation (GGA-PBE) on a relaxed PmScTeO6 crystal.

Computed properties:
Size of the total moment   0.000 μB/cell
Electronic total energy   -132.29 eV/cell
DOS at the Fermi energy   0.00 states/eV/f.u.
ρ   5.50 Mg/m³

```
data_PmScTeO6
_cell_length_a 5.3693
_cell_length_b 5.3693
_cell_length_c 10.0056
_cell_angle_alpha 90.00
_cell_angle_beta 90.00
_cell_angle_gamma 120.00
_symmetry_space_group_name_H-M 'P -3 1 c'
_symmetry_Int_Tables_number 163
_symmetry_space_group_name_Hall '-P 3 2c'
loop_
_atom_site_label
_atom_site_fract_x
_atom_site_fract_y
_atom_site_fract_z
_atom_site_occupancy
Pm1 0.0000 0.0000 0.0000 1
Sc1 0.3333 0.6667 0.2500 1
Te1 0.3333 0.6667 0.7500 1
O1 0.0238 0.3741 0.6406 1
```

---

Entry 3:
VASP calculation (GGA-PBE) on a relaxed Pm2ScTlO6 crystal.

Computed properties:
Size of the total moment   0.000 μB/cell
Electronic total energy   -150.60 eV/cell
DOS at the Fermi energy   0.00 states/eV/f.u.
ρ   7.51 Mg/m³

```
data_Pm2ScTlO6
_cell_length_a 5.648
_cell_length_b 5.962
_cell_length_c 10.036
_cell_angle_alpha 90.00
_cell_angle_beta 123.74
_cell_angle_gamma 90.00
_symmetry_space_group_name_H-M 'P 1 21/c 1'
_symmetry_Int_Tables_number 14
loop_
_symmetry_equiv_pos_as_xyz
'x,y,z'
'-x,-y,-z'
'-x,y+1/2,-z+1/2'
'x,-y+1/2,z+1/2'
loop_
_atom_site_label
_atom_site_fract_x
_atom_site_fract_y
_atom_site_fract_z
_atom_site_occupancy
Pm1 0.225 0.062 0.246 1
Sc1 0.500 0.000 0.000 1
Tl1 0.000 0.000 0.500 1
O1 0.137 0.184 0.937 1
O2 0.239 0.706 0.922 1
O3 0.398 0.063 0.763 1
```

---

Entry 4:
VASP calculation (GGA-PBE) on a relaxed Pm2TmScO6 crystal.

Computed properties:
Size of the total moment   0.000 μB/cell
Electronic total energy   -254.40 eV/cell
DOS at the Fermi energy   0.00 states/eV/f.u.
ρ   6.97 Mg/m³

```
data_Pm2TmScO6
_cell_length_a 5.7919
_cell_length_b 5.7919
_cell_length_c 14.7623
_cell_angle_alpha 90.00
_cell_angle_beta 90.00
_cell_angle_gamma 120.00
_symmetry_space_group_name_H-M 'R 3'
_symmetry_Int_Tables_number 146
_symmetry_space_group_name_Hall 'R 3'
loop_
_atom_site_label
_atom_site_fract_x
_atom_site_fract_y
_atom_site_fract_z
_atom_site_occupancy
Pm1 0.0000 0.0000 0.0000 1
Pm2 0.0000 0.0000 0.4994 1
Tm1 0.0000 0.0000 0.2234 1
Sc1 0.0000 0.0000 0.7214 1
O1 0.0616 0.3487 0.7878 1
O2 0.0670 0.7017 0.2904 1
```

---

What is the ρ in the first record? 5.83 Mg/m³